1.
Crystalline NbTeMoPdI at its relaxed geometry, computed with PBE-GGA.

Cell: 3.642 4.848 8.614 Å, 97.39 101.74 112.03°
Space group P1 (No. 1)
One atom of each set of equivalent atoms:
Nb  0.000  0.000  0.000 (multiplicity 1)
Te  0.869  0.078  0.646 (multiplicity 1)
Mo  0.612  0.339  0.882 (multiplicity 1)
Pd  0.240  0.706  0.765 (multiplicity 1)
I  0.813  0.417  0.217 (multiplicity 1)

Values from the calculation:
ΔE_f (raw): -0.01 eV/atom
calculated total energy: -6.166 eV per atom
distance to the lowest polymorph of the same formula: 0.44 eV/f.u.
total moment: 0.00 μB/f.u.

***

2.
Crystalline Rb2NbMoI at its relaxed geometry, computed with PBE-GGA.

Cell: 7.078 7.078 4.607 Å, 90.00 90.00 90.00°
Space group P4/mmm (No. 123)
One atom of each set of equivalent atoms:
Rb  0.000  0.500  0.000 (multiplicity 2)
Nb  0.000  0.000  0.000 (multiplicity 1)
Mo  0.000  0.000  0.500 (multiplicity 1)
I  0.500  0.500  0.500 (multiplicity 1)

Values from the calculation:
ΔE_f (raw): 0.94 eV/atom
calculated total energy: -3.938 eV per atom
total moment: 0.00 μB/f.u.

***

3.
Crystalline Nb2MoSeI at its relaxed geometry, computed with PBE-GGA.

Cell: 4.736 4.736 5.929 Å, 90.00 90.00 90.00°
Space group P4/mmm (No. 123)
One atom of each set of equivalent atoms:
Nb  0.000  0.500  0.000 (multiplicity 2)
Mo  0.000  0.000  0.500 (multiplicity 1)
Se  0.500  0.500  0.000 (multiplicity 1)
I  0.500  0.500  0.500 (multiplicity 1)

Values from the calculation:
ΔE_f (raw): 1.58 eV/atom
calculated total energy: -5.618 eV per atom
total moment: 1.98 μB/f.u.

***

4.
Crystalline Nb2SnMoI at its relaxed geometry, computed with PBE-GGA.

Cell: 5.149 5.149 5.017 Å, 90.00 90.00 90.00°
Space group P4/mmm (No. 123)
One atom of each set of equivalent atoms:
Nb  0.000  0.500  0.000 (multiplicity 2)
Sn  0.000  0.000  0.000 (multiplicity 1)
Mo  0.000  0.000  0.500 (multiplicity 1)
I  0.500  0.500  0.500 (multiplicity 1)

Values from the calculation:
ΔE_f (raw): 1.89 eV/atom
calculated total energy: -5.413 eV per atom
total moment: 0.00 μB/f.u.

***

5.
Crystalline NbTeMoI2 at its relaxed geometry, computed with PBE-GGA.

Cell: 5.681 5.681 5.433 Å, 90.00 90.00 90.00°
Space group P4/mmm (No. 123)
One atom of each set of equivalent atoms:
Nb  0.000  0.000  0.000 (multiplicity 1)
Te  0.000  0.000  0.500 (multiplicity 1)
Mo  0.500  0.500  0.500 (multiplicity 1)
I  0.000  0.500  0.000 (multiplicity 2)

Values from the calculation:
ΔE_f (raw): 0.94 eV/atom
calculated total energy: -4.490 eV per atom
distance to the lowest polymorph of the same formula: 0.00 eV/f.u.
total moment: 6.84 μB/f.u.

***

6.
Crystalline NbTe2MoI at its relaxed geometry, computed with PBE-GGA.

Cell: 5.421 5.421 5.650 Å, 90.00 90.00 90.00°
Space group P4/mmm (No. 123)
One atom of each set of equivalent atoms:
Nb  0.000  0.000  0.000 (multiplicity 1)
Te  0.000  0.500  0.000 (multiplicity 2)
Mo  0.500  0.500  0.500 (multiplicity 1)
I  0.000  0.000  0.500 (multiplicity 1)

Values from the calculation:
ΔE_f (raw): 0.92 eV/atom
calculated total energy: -4.827 eV per atom
distance to the lowest polymorph of the same formula: 0.00 eV/f.u.
total moment: 5.61 μB/f.u.

***

7.
Crystalline NiMoI3 at its relaxed geometry, computed with PBE-GGA.

Cell: 5.303 5.303 5.303 Å, 90.00 90.00 90.00°
Space group Pm-3m (No. 221)
One atom of each set of equivalent atoms:
Ni  0.000  0.000  0.000 (multiplicity 1)
Mo  0.500  0.500  0.500 (multiplicity 1)
I  0.000  0.000  0.500 (multiplicity 3)

Values from the calculation:
ΔE_f (raw): 0.84 eV/atom
calculated total energy: -3.417 eV per atom
distance to the lowest polymorph of the same formula: 0.00 eV/f.u.
total moment: 4.68 μB/f.u.

***

8.
Crystalline NiMoI2 at its relaxed geometry, computed with PBE-GGA.

Cell: 6.789 6.789 6.789 Å, 90.00 90.00 90.00°
Space group Fm-3m (No. 225)
One atom of each set of equivalent atoms:
Ni  0.000  0.000  0.000 (multiplicity 4)
Mo  0.000  0.000  0.500 (multiplicity 4)
I  0.250  0.250  0.250 (multiplicity 8)

Values from the calculation:
ΔE_f (raw): 0.93 eV/atom
calculated total energy: -3.997 eV per atom
distance to the lowest polymorph of the same formula: 0.65 eV/f.u.
total moment: 0.36 μB/f.u.

***

9.
Crystalline NiMoI2 at its relaxed geometry, computed with PBE-GGA.

Cell: 5.934 5.934 11.957 Å, 90.00 90.00 90.00°
Space group I-42d (No. 122)
One atom of each set of equivalent atoms:
Ni  0.000  0.000  0.000 (multiplicity 4)
Mo  0.000  0.000  0.500 (multiplicity 4)
I  0.230  0.250  0.125 (multiplicity 8)

Values from the calculation:
ΔE_f (raw): 0.77 eV/atom
calculated total energy: -4.159 eV per atom
distance to the lowest polymorph of the same formula: 0.00 eV/f.u.
total moment: 0.00 μB/f.u.

***

10.
Crystalline NiMoI3 at its relaxed geometry, computed with PBE-GGA.

Cell: 5.647 5.647 5.647 Å, 90.00 90.00 90.00°
Space group Pm-3m (No. 221)
One atom of each set of equivalent atoms:
Ni  0.000  0.000  0.000 (multiplicity 1)
Mo  0.500  0.500  0.500 (multiplicity 1)
I  0.000  0.500  0.500 (multiplicity 3)

Values from the calculation:
ΔE_f (raw): 0.93 eV/atom
calculated total energy: -3.321 eV per atom
distance to the lowest polymorph of the same formula: 0.48 eV/f.u.
total moment: 4.64 μB/f.u.

***

11.
Crystalline Ni2MoPtI at its relaxed geometry, computed with PBE-GGA.

Cell: 4.548 4.548 5.061 Å, 90.00 90.00 90.00°
Space group P4/mmm (No. 123)
One atom of each set of equivalent atoms:
Ni  0.000  0.500  0.000 (multiplicity 2)
Mo  0.000  0.000  0.500 (multiplicity 1)
Pt  0.500  0.500  0.500 (multiplicity 1)
I  0.500  0.500  0.000 (multiplicity 1)

Values from the calculation:
ΔE_f (raw): 1.45 eV/atom
calculated total energy: -4.546 eV per atom
total moment: 4.42 μB/f.u.

***

12.
Crystalline NiMo2PtI at its relaxed geometry, computed with PBE-GGA.

Cell: 4.889 4.889 4.876 Å, 90.00 90.00 90.00°
Space group P4/mmm (No. 123)
One atom of each set of equivalent atoms:
Ni  0.000  0.000  0.000 (multiplicity 1)
Mo  0.000  0.500  0.500 (multiplicity 2)
Pt  0.500  0.500  0.000 (multiplicity 1)
I  0.500  0.500  0.500 (multiplicity 1)

Values from the calculation:
ΔE_f (raw): 2.23 eV/atom
calculated total energy: -4.780 eV per atom
total moment: 1.39 μB/f.u.